# HoPuMn2 PBE optimized geometry
data_HoPuMn2
_space_group_name_H-M_alt 'P 63/m m c'
_space_group_IT_number 194
_space_group_name_Hall '-P 6c 2c'
_cell_length_a 4.3201
_cell_length_b 4.3201
_cell_length_c 9.2852
_cell_angle_alpha 90.00
_cell_angle_beta 90.00
_cell_angle_gamma 120.00
loop_
_atom_site_label
_atom_site_type_symbol
_atom_site_fract_x
_atom_site_fract_y
_atom_site_fract_z
_atom_site_occupancy
Ho1 Ho 0.3333 0.6667 0.2500 1
Pu1 Pu 0.0000 0.0000 0.0000 1
Mn1 Mn 0.3333 0.6667 0.5672 1
# D(E_F) ... 13.1 states/eV per cell
# E_form ... -0.009 eV per atom